Below is a relaxed structure of Al2GaTeIr, with properties calculated at the GGA-PBE level.

## Properties
formation energy (no corrections)	1.0805	eV per atom
space group	P4/mmm
crystal system	tetragonal
VASP energy	-3.4224	eV/atom

Cell: 5.3240 4.9307 5.3240 Å, 90.00 90.00 90.00°
Last column: nearest neighbours and their distance in Å.
Sites, in units of the cell vectors:
1 Ir 0.0000 0.5000 0.0000  2 Te 2.47
2 Te 0.0000 0.0000 0.0000  2 Ir 2.47, 4 Al 2.66
3 Al 0.0000 0.0000 0.5000  2 Te 2.66
4 Al 0.5000 0.0000 0.0000  2 Te 2.66
5 Ga 0.5000 0.5000 0.5000  8 Al 3.63, 4 Ir 3.76